Version A
Density functional theory data (GGA-PBE) for MgW after structural relaxation.

The space group is No. 87. The calculation puts the density of states at the Fermi level at 11.5 states/eV per cell.

a b c (Å): 11.594 11.594 3.000
angles (deg): 90.00 90.00 90.00
Positions (direct):
W1 0.710 0.179 0.500
Mg1 0.179 0.043 0.500
W2 0.790 0.321 0.000
Mg2 0.457 0.679 0.000
Mg3 0.679 0.543 0.000
W3 0.321 0.210 0.000
W4 0.821 0.710 0.500
Mg4 0.957 0.179 0.500
W5 0.679 0.790 0.000
Mg5 0.543 0.321 0.000
Mg6 0.821 0.957 0.500
W6 0.179 0.290 0.500
Mg7 0.321 0.457 0.000
W7 0.290 0.821 0.500
Mg8 0.043 0.821 0.500
W8 0.210 0.679 0.000

---

Version B
Density functional theory data (GGA-PBE) for MgW after structural relaxation.

The space group is No. 65. The calculation puts the density of states at the Fermi level at 0.9 states/eV per cell.

a b c (Å): 2.726 2.726 4.723
angles (deg): 90.00 90.00 102.86
Positions (direct):
W1 0.000 0.000 0.000
Mg1 0.500 0.500 0.500

---

Version C
Density functional theory data (GGA-PBE) for MgW after structural relaxation.

The space group is No. 187. The calculation puts the density of states at the Fermi level at 2.1 states/eV per cell.

a b c (Å): 2.858 2.858 4.890
angles (deg): 90.00 90.00 120.00
Positions (direct):
W1 0.000 0.000 0.000
Mg1 0.333 0.667 0.500

---

Version D
Density functional theory data (GGA-PBE) for MgW after structural relaxation.

The space group is No. 198. The calculation puts the density of states at the Fermi level at 8.8 states/eV per cell.

a b c (Å): 5.166 5.166 5.166
angles (deg): 90.00 90.00 90.00
Positions (direct):
W1 0.395 0.895 0.605
Mg1 0.598 0.902 0.098
W2 0.105 0.105 0.105
W3 0.895 0.605 0.395
Mg2 0.402 0.402 0.402
W4 0.605 0.395 0.895
Mg3 0.902 0.098 0.598
Mg4 0.098 0.598 0.902

---

The data favor version B; the next most stable structure lies 66 meV/atom above it.